A geometry-optimized Pr2NdSm8 structure, computed with GGA-PBE.

Properties
Its distance to the lowest polymorph of the same formula is 145 meV per atom. Its space group is C2/m (12).

a b c (Å): 9.327 9.327 6.727
angles (deg): 102.96 102.96 42.39
Positions (direct):
Pr 0.202 0.202 0.354
Pr 0.798 0.798 0.646
Nd 0.000 0.000 0.000
Sm 0.165 0.644 0.323
Sm 0.252 0.252 0.907
Sm 0.356 0.835 0.677
Sm 0.428 0.428 0.805
Sm 0.572 0.572 0.195
Sm 0.644 0.165 0.323
Sm 0.748 0.748 0.093
Sm 0.835 0.356 0.677


A geometry-optimized PrNd7Sm2 structure, computed with GGA-PBE.

Properties
Its distance to the lowest polymorph of the same formula is 255 meV per atom. Its space group is Cmmm (65).

a b c (Å): 9.367 9.367 5.692
angles (deg): 90.00 90.00 123.05
Positions (direct):
Pr 0.000 0.000 0.000
Nd 0.065 0.295 0.500
Nd 0.227 0.773 0.000
Nd 0.295 0.065 0.500
Nd 0.500 0.500 0.500
Nd 0.705 0.935 0.500
Nd 0.773 0.227 0.000
Nd 0.935 0.705 0.500
Sm 0.297 0.703 0.500
Sm 0.703 0.297 0.500


A geometry-optimized Pr2Nd5Sm2 structure, computed with GGA-PBE.

Properties
Its distance to the lowest polymorph of the same formula is 174 meV per atom. Its space group is Ima2 (46).

a b c (Å): 10.313 10.313 10.313
angles (deg): 85.23 108.00 140.72
Positions (direct):
Pr 0.004 0.126 0.129
Pr 0.004 0.374 0.378
Pr 0.996 0.626 0.622
Pr 0.996 0.874 0.871
Nd 0.088 0.600 0.988
Nd 0.089 0.179 0.624
Nd 0.089 0.965 0.410
Nd 0.400 0.095 0.198
Nd 0.400 0.702 0.804
Nd 0.555 0.465 0.376
Nd 0.555 0.679 0.590
Nd 0.611 0.100 0.012
Nd 0.898 0.202 0.802
Nd 0.898 0.595 0.196
Sm 0.469 0.469 0.000
Sm 0.469 0.969 0.500
Sm 0.529 0.285 0.744
Sm 0.541 0.785 0.256


A geometry-optimized Pr4Nd3Sm2 structure, computed with GGA-PBE.

Properties
Its distance to the lowest polymorph of the same formula is 0 meV per atom. Its space group is P3m1 (156).

a b c (Å): 3.677 3.677 27.528
angles (deg): 90.00 90.00 120.00
Positions (direct):
Pr 0.000 0.000 0.000
Pr 0.000 0.000 0.219
Pr 0.333 0.667 0.330
Pr 0.333 0.667 0.552
Nd 0.000 0.000 0.440
Nd 0.333 0.667 0.107
Nd 0.333 0.667 0.770
Sm 0.000 0.000 0.659
Sm 0.000 0.000 0.874


A geometry-optimized PrNdSmSn structure, computed with GGA-PBE.

Properties
For the total energy, the calculation gives -0.35412 Ry/atom. Its space group is F-43m (216).

a b c (Å): 5.572 5.572 5.572
angles (deg): 60.00 60.00 60.00
Positions (direct):
Pr 0.000 0.000 0.000
Nd 0.250 0.250 0.250
Sm 0.500 0.500 0.500
Sn 0.750 0.750 0.750


A geometry-optimized TbPrNd2Sm2 structure, computed with GGA-PBE.

Properties
For the total energy, the calculation gives -0.32948 Ry/atom. Its space group is Pnnm (58).

a b c (Å): 6.771 18.073 3.445
angles (deg): 90.00 90.00 90.00
Positions (direct):
Tb 0.000 0.000 0.000
Tb 0.500 0.500 0.500
Pr 0.000 0.500 0.000
Pr 0.500 0.000 0.500
Nd 0.235 0.182 0.000
Nd 0.265 0.682 0.500
Nd 0.735 0.318 0.500
Nd 0.765 0.818 0.000
Sm 0.232 0.351 0.500
Sm 0.268 0.851 0.000
Sm 0.732 0.149 0.000
Sm 0.768 0.649 0.500


Total moment
In order: 0.00 0.00 0.00 0.00 0.01 0.00
Unit: μB/f.u.